(1)
Below is crystalline BiW2Br8O2 at its relaxed geometry, with properties calculated at the GGA+U level.

Output
Raw total energy ... -4.150 eV per atom

Unit cell a=7.785 b=9.799 c=11.887 alpha=85.74 beta=80.07 gamma=88.71
Space group P-1 (No. 2)
Symmetry-distinct sites (fractional):
1 Bi 0.125 0.333 0.085
2 W 0.214 0.884 0.648
3 W 0.286 0.104 0.354
4 Br 0.115 0.619 0.081
5 Br 0.151 0.940 0.857
6 Br 0.206 0.628 0.701
7 Br 0.227 0.155 0.573
8 Br 0.276 0.839 0.426
9 Br 0.298 0.366 0.285
10 Br 0.329 0.042 0.148
11 Br 0.389 0.335 0.914
12 O 0.025 0.107 0.360
13 O 0.457 0.893 0.643

***

(2)
Below is crystalline BiWBrO4 at its relaxed geometry, with properties calculated at the GGA+U level.

Output
Raw total energy ... -6.194 eV per atom

Unit cell a=11.182 b=7.628 c=7.261 alpha=90.00 beta=114.32 gamma=90.00
Space group C2/m (No. 12)
Symmetry-distinct sites (fractional):
1 Bi 0.226 0.000 0.177
2 W 0.127 0.500 0.223
3 Br 0.005 0.000 0.257
4 O 0.058 0.500 0.885
5 O 0.156 0.500 0.491
6 O 0.215 0.304 0.205

***

(3)
Below is crystalline BiWBrO2 at its relaxed geometry, with properties calculated at the GGA+U level.

Output
Raw total energy ... -4.230 eV per atom

Unit cell a=4.239 b=4.239 c=6.353 alpha=90.00 beta=90.00 gamma=90.00
Space group P4/mmm (No. 123)
Symmetry-distinct sites (fractional):
1 Bi 0.000 0.000 0.000
2 W 0.000 0.000 0.500
3 Br 0.500 0.500 0.500
4 O 0.000 0.500 0.000

***

no.,volume (Å³ per atom)
1,34.3
2,20.2
3,22.8